Here is BeHgO3 after structural relaxation from the Alexandria database. Energies are from GGA-PBE.

Properties
The value obtained for the magnetization is 2.0 μB/f.u. The calculation puts the raw total energy at -4.2477 eV/atom. Its calculated density is 9.1 g cm⁻³. Its raw formation energy is -2.336 eV per formula unit. The space group is Pm-3m, No. 221.

Cell: 3.605 3.605 3.605 Å, 90.00 90.00 90.00°
Positions (direct):
1 Be 0.000 0.000 0.000
2 Hg 0.500 0.500 0.500
3 O 0.000 0.500 0.000
4 O 0.000 0.000 0.500
5 O 0.500 0.000 0.000